Record 1
## Y2Sc3Tl2 (PBE-GGA)

Data for a relaxed Y2Sc3Tl2 crystal.

The structure in POSCAR format:
```
Y2Sc3Tl2
1.0
-4.059 -1.128 1.648
4.337 -3.750 1.906
0.100 6.417 4.638
Sc Tl Y
3 2 2
Direct
0.500 0.000 0.000
0.373 0.745 0.562
0.627 0.255 0.438
0.168 0.336 0.204
0.832 0.664 0.796
0.126 0.251 0.770
0.874 0.749 0.230
```

Properties
For the energy of formation, the calculation gives -178 meV per atom. The crystal system is monoclinic. The density of states at the Fermi level is 1.332 states/eV/atom.


Record 2
## YSc5Tl2 (PBE-GGA)

Data for a relaxed YSc5Tl2 crystal.

The structure in POSCAR format:
```
YSc5Tl2
1.0
3.494 0.000 0.000
1.747 7.698 -0.350
1.747 1.982 7.447
Sc Tl Y
5 2 1
Direct
0.369 0.409 0.853
0.369 0.853 0.409
0.000 0.500 0.500
0.631 0.591 0.147
0.631 0.147 0.591
0.259 0.241 0.241
0.741 0.759 0.759
0.000 0.000 0.000
```

Properties
For the energy of formation, the calculation gives -142 meV per atom. The crystal system is orthorhombic. The density of states at the Fermi level is 1.467 states/eV/atom.


Record 3
## Y3Sc2Tl2 (PBE-GGA)

Data for a relaxed Y3Sc2Tl2 crystal.

The structure in POSCAR format:
```
Y3Sc2Tl2
1.0
3.576 0.000 -0.612
-0.194 4.865 -1.134
0.075 0.041 11.185
Sc Y Tl
2 3 2
Direct
0.569 0.569 0.139
0.431 0.431 0.861
0.000 0.000 0.000
0.202 0.702 0.403
0.798 0.298 0.597
0.646 0.146 0.292
0.354 0.854 0.708
```

Properties
For the energy of formation, the calculation gives -170 meV per atom. The crystal system is orthorhombic. The density of states at the Fermi level is 1.211 states/eV/atom.


Record 4
## Y2ScTl (PBE-GGA)

Data for a relaxed Y2ScTl crystal.

The structure in POSCAR format:
```
Y2ScTl
1.0
6.041 0.083 0.000
2.410 5.540 0.000
-4.226 -2.812 3.277
Tl Y Sc
1 2 1
Direct
0.750 0.250 0.500
0.000 0.000 0.000
0.250 0.750 0.500
0.500 0.500 0.000
```

Properties
For the energy of formation, the calculation gives -140 meV per atom. The value obtained for the excess energy over the best structure of this formula in the dataset is 53.6 meV/atom. The crystal system is tetragonal. The density of states at the Fermi level is 1.458 states/eV/atom.


Record 5
## Y2ScTl (PBE-GGA)

Data for a relaxed Y2ScTl crystal.

The structure in POSCAR format:
```
Y2ScTl
1.0
-0.259 0.738 -5.017
6.121 -2.183 -0.637
-4.020 -5.665 -0.626
Sc Y Tl
2 4 2
Direct
0.250 0.373 0.736
0.750 0.627 0.264
0.750 0.138 0.906
0.750 0.173 0.421
0.250 0.862 0.094
0.250 0.827 0.579
0.250 0.375 0.214
0.750 0.625 0.786
```

Properties
For the energy of formation, the calculation gives -193 meV per atom. The value obtained for the excess energy over the best structure of this formula in the dataset is 0.0 meV/atom. The crystal system is monoclinic. The density of states at the Fermi level is 1.417 states/eV/atom.


Record 6
## Y3Sc4Tl4 (PBE-GGA)

Data for a relaxed Y3Sc4Tl4 crystal.

The structure in POSCAR format:
```
Y3Sc4Tl4
1.0
4.572 0.000 0.000
0.000 8.172 0.000
-2.286 -4.086 7.979
Sc Y Tl
4 3 4
Direct
0.673 0.475 0.346
0.673 0.872 0.346
0.327 0.128 0.654
0.327 0.525 0.654
0.000 0.500 0.000
0.119 0.119 0.237
0.881 0.881 0.763
0.500 0.196 0.000
0.500 0.804 0.000
0.778 0.278 0.556
0.222 0.722 0.444
```

Properties
For the energy of formation, the calculation gives -217 meV per atom. The crystal system is orthorhombic. The density of states at the Fermi level is 0.859 states/eV/atom.